The following is a DFT calculation (PBE) of LiScGa2Ir4 after structural relaxation.

a = 4.3280 Å, b = 4.3280 Å, c = 6.0994 Å
α = 90.00°, β = 90.00°, γ = 90.00°
Last column: nearest neighbours and their distance in Å.
Sites, in units of the cell vectors:
Ir (0.0000, 0.5000, 0.2375)  4 Ga 2.60-2.69, 2 Li 2.60, 2 Sc 2.69, 1 Ir 2.90
Ir (0.0000, 0.5000, 0.7625)  2 Li 2.60, 4 Ga 2.60-2.69, 2 Sc 2.69, 1 Ir 2.90
Ir (0.5000, 0.0000, 0.2375)  4 Ga 2.60-2.69, 2 Li 2.60, 2 Sc 2.69, 1 Ir 2.90
Ir (0.5000, 0.0000, 0.7625)  2 Li 2.60, 4 Ga 2.60-2.69, 2 Sc 2.69, 1 Ir 2.90
Li (0.0000, 0.0000, 0.0000)  8 Ir 2.60
Ga (0.5000, 0.5000, 0.0000)  8 Ir 2.60
Ga (0.0000, 0.0000, 0.5000)  8 Ir 2.69
Sc (0.5000, 0.5000, 0.5000)  8 Ir 2.69

space group = P4/mmm, No. 123
calculated total energy = -6.7861 eV/atom